Entry 1:
PBE LaZrB4, relaxed; space group = No. 191; E = -7.32 eV/atom; M_tot = 0.01 μB per formula unit
1.0
3.2238 0.0000 0.0000
-1.6119 2.7919 0.0000
0.0000 0.0000 7.9496
La Zr B
1 1 4
direct
0.0000 0.0000 0.0000
0.0000 0.0000 0.5000
0.3333 0.6667 0.2813
0.3333 0.6667 0.7187
0.6667 0.3333 0.2813
0.6667 0.3333 0.7187


Entry 2:
PBE CoPbAuS3, relaxed; space group = No. 63; E = -4.59 eV/atom; M_tot = 0.27 μB per formula unit
1.0
1.7817 -7.2306 0.0000
1.7817 7.2306 0.0000
0.0000 0.0000 9.6311
Co Pb Au S
2 2 2 6
direct
0.0000 0.0000 0.0000
0.0000 0.0000 0.5000
0.3150 0.6850 0.7500
0.6850 0.3150 0.2500
0.3593 0.6407 0.2500
0.6407 0.3593 0.7500
0.0399 0.9601 0.2500
0.4002 0.5998 0.0165
0.4002 0.5998 0.4835
0.5998 0.4002 0.5165
0.5998 0.4002 0.9835
0.9601 0.0399 0.7500